Entry 1:
Here is crystalline MgNiHgRh at its relaxed geometry from Alexandria. Energies are from GGA-PBE.

Calculated volume   252 Å³/cell
Total DFT energy (no corrections)   -3.865 eV per atom

a b c (Å): 6.3142 6.3142 6.3142
angles (deg): 90.00 90.00 90.00
Space group F-43m (No. 216)
Symmetry-distinct sites (fractional):
Mg1 0.0000 0.0000 0.0000
Ni1 0.2500 0.2500 0.7500
Hg1 0.0000 0.0000 0.5000
Rh1 0.2500 0.2500 0.2500

---

Entry 2:
Here is crystalline Th2Ge5Ir3 at its relaxed geometry from Alexandria. Energies are from GGA-PBE.

Calculated volume   759 Å³/cell
Total DFT energy (no corrections)   -7.207 eV per atom

a b c (Å): 10.2973 11.8956 6.1923
angles (deg): 90.00 90.00 90.00
Space group Ibam (No. 72)
Symmetry-distinct sites (fractional):
Th1 0.2287 0.1337 0.0000
Ge1 0.0000 0.0000 0.2500
Ge2 0.0000 0.2738 0.2500
Ge3 0.1561 0.3978 0.0000
Ir1 0.0000 0.5000 0.2500
Ir2 0.1121 0.1403 0.5000

---

Entry 3:
Here is crystalline SrSbIr2 at its relaxed geometry from Alexandria. Energies are from GGA-PBE.

ΔE_f (raw)   0.145 eV per atom
Calculated volume   158 Å³/cell
Total DFT energy (no corrections)   -5.736 eV per atom

a b c (Å): 4.5412 4.5412 7.6461
angles (deg): 90.00 90.00 90.00
Space group I4/mmm (No. 139)
Symmetry-distinct sites (fractional):
Sr1 0.0000 0.0000 0.0000
Sb1 0.0000 0.0000 0.5000
Ir1 0.0000 0.5000 0.2500

---

Entry 4:
Here is crystalline PrSnAuSe at its relaxed geometry from Alexandria. Energies are from GGA-PBE.

ΔE_f (raw)   -0.941 eV per atom
Calculated volume   679 Å³/cell
Total DFT energy (no corrections)   -4.827 eV per atom

a b c (Å): 4.7082 4.7082 35.3511
angles (deg): 90.00 90.00 120.00
Space group R-3m (No. 166, hexagonal axes)
Symmetry-distinct sites (fractional):
Pr1 0.0000 0.0000 0.1078
Sn1 0.0000 0.0000 0.2983
Au1 0.0000 0.0000 0.3809
Se1 0.0000 0.0000 0.1969

---

Entry 5:
Here is crystalline Cu3Sn12Hg5 at its relaxed geometry from Alexandria. Energies are from GGA-PBE.

Calculated volume   4602 Å³/cell
Total DFT energy (no corrections)   -2.930 eV per atom

a b c (Å): 16.6329 16.6329 16.6329
angles (deg): 90.00 90.00 90.00
Space group Ia-3d (No. 230)
Symmetry-distinct sites (fractional):
Cu1 0.0000 0.2500 0.1250
Sn1 0.0205 0.0936 0.6488
Hg1 0.0000 0.0000 0.0000
Hg2 0.0000 0.2500 0.3750

---

Entry 6:
Here is crystalline Ba2CaSiRu at its relaxed geometry from Alexandria. Energies are from GGA-PBE.

ΔE_f (raw)   0.352 eV per atom
Calculated volume   174 Å³/cell
Total DFT energy (no corrections)   -3.757 eV per atom

a b c (Å): 5.6428 5.6428 5.4755
angles (deg): 90.00 90.00 90.00
Space group P4/mmm (No. 123)
Symmetry-distinct sites (fractional):
Ba1 0.0000 0.5000 0.0000
Ca1 0.0000 0.0000 0.5000
Si1 0.5000 0.5000 0.5000
Ru1 0.0000 0.0000 0.0000

---

Entry 7:
Here is crystalline ThGaTe2 at its relaxed geometry from Alexandria. Energies are from GGA-PBE.

ΔE_f (raw)   -0.763 eV per atom
Calculated volume   114 Å³/cell
Total DFT energy (no corrections)   -4.946 eV per atom

a b c (Å): 3.9471 3.9471 7.3223
angles (deg): 90.00 90.00 90.00
Space group P4/mmm (No. 123)
Symmetry-distinct sites (fractional):
Th1 0.0000 0.0000 0.0000
Ga1 0.0000 0.0000 0.5000
Te1 0.5000 0.5000 0.2396